Record 1
# Be3TeO PBE relaxed
data_Be3TeO
_cell_length_a 4.649
_cell_length_b 4.649
_cell_length_c 4.649
_cell_angle_alpha 90.00
_cell_angle_beta 90.00
_cell_angle_gamma 90.00
_space_group_name_H-M_alt 'P 1'
_space_group_IT_number 1
loop_
_space_group_symop_operation_xyz
'x,y,z'
loop_
_atom_site_label
_atom_site_type_symbol
_atom_site_fract_x
_atom_site_fract_y
_atom_site_fract_z
Be1 Be 0.000 0.500 0.000
Be2 Be 0.000 0.000 0.500
Be3 Be 0.500 0.000 0.000
Te1 Te 0.000 0.000 0.000
O1 O 0.500 0.500 0.500
# - space-group type = No. 221
# - relative energy among the computed polymorphs (meV/atom) = 1514
# - total energy (Ha/atom) = -0.084
# - spin magnetization (μB/f.u.) = 0.0

Record 2
# KTc2Sb PBE relaxed
data_KTc2Sb
_cell_length_a 3.029
_cell_length_b 3.029
_cell_length_c 9.956
_cell_angle_alpha 90.00
_cell_angle_beta 90.00
_cell_angle_gamma 114.75
_space_group_name_H-M_alt 'P 1'
_space_group_IT_number 1
loop_
_space_group_symop_operation_xyz
'x,y,z'
loop_
_atom_site_label
_atom_site_type_symbol
_atom_site_fract_x
_atom_site_fract_y
_atom_site_fract_z
K1 K 0.500 0.500 0.250
Sb1 Sb 0.500 0.500 0.750
Tc1 Tc 0.000 0.000 0.956
Tc2 Tc 0.000 0.000 0.544
# - space-group type = No. 65
# - total energy (Ha/atom) = -0.201
# - spin magnetization (μB/f.u.) = 0.0

Record 3
# CdGa3B PBE relaxed
data_CdGa3B
_cell_length_a 5.116
_cell_length_b 5.116
_cell_length_c 5.116
_cell_angle_alpha 90.00
_cell_angle_beta 90.00
_cell_angle_gamma 90.00
_space_group_name_H-M_alt 'P 1'
_space_group_IT_number 1
loop_
_space_group_symop_operation_xyz
'x,y,z'
loop_
_atom_site_label
_atom_site_type_symbol
_atom_site_fract_x
_atom_site_fract_y
_atom_site_fract_z
B1 B 0.500 0.500 0.500
Ga1 Ga 0.000 0.500 0.000
Ga2 Ga 0.000 0.000 0.500
Ga3 Ga 0.500 0.000 0.000
Cd1 Cd 0.000 0.000 0.000
# - space-group type = No. 221
# - formation energy (eV per atom) = 1.390
# - relative energy among the computed polymorphs (meV/atom) = 1007
# - total energy (Ha/atom) = -0.071
# - spin magnetization (μB/f.u.) = 0.0

Record 4
# AcHg2S PBE relaxed
data_AcHg2S
_cell_length_a 4.304
_cell_length_b 4.317
_cell_length_c 11.964
_cell_angle_alpha 99.23
_cell_angle_beta 90.00
_cell_angle_gamma 90.00
_space_group_name_H-M_alt 'P 1'
_space_group_IT_number 1
loop_
_space_group_symop_operation_xyz
'x,y,z'
loop_
_atom_site_label
_atom_site_type_symbol
_atom_site_fract_x
_atom_site_fract_y
_atom_site_fract_z
Ac1 Ac 0.750 0.815 0.649
Ac2 Ac 0.250 0.185 0.351
Hg1 Hg 0.750 0.424 0.886
Hg2 Hg 0.250 0.576 0.114
Hg3 Hg 0.250 0.926 0.888
Hg4 Hg 0.750 0.074 0.112
S1 S 0.250 0.296 0.606
S2 S 0.750 0.704 0.394
# - space-group type = No. 11
# - relative energy among the computed polymorphs (meV/atom) = 0
# - total energy (Ha/atom) = -0.120
# - spin magnetization (μB/f.u.) = 0.0

Record 5
# Ce3SmHo2Se6 PBE relaxed
data_Ce3SmHo2Se6
_cell_length_a 7.152
_cell_length_b 7.152
_cell_length_c 7.253
_cell_angle_alpha 99.47
_cell_angle_beta 99.47
_cell_angle_gamma 120.04
_space_group_name_H-M_alt 'P 1'
_space_group_IT_number 1
loop_
_space_group_symop_operation_xyz
'x,y,z'
loop_
_atom_site_label
_atom_site_type_symbol
_atom_site_fract_x
_atom_site_fract_y
_atom_site_fract_z
Ce1 Ce 0.164 0.836 0.500
Ce2 Ce 0.836 0.164 0.500
Ce3 Ce 0.500 0.500 0.500
Sm1 Sm 0.000 0.000 0.000
Ho1 Ho 0.333 0.667 0.000
Ho2 Ho 0.667 0.333 0.000
Se1 Se 0.920 0.580 0.759
Se2 Se 0.739 0.739 0.237
Se3 Se 0.080 0.420 0.241
Se4 Se 0.580 0.920 0.759
Se5 Se 0.261 0.261 0.763
Se6 Se 0.420 0.080 0.241
# - space-group type = No. 12
# - total energy (Ha/atom) = -0.227
# - spin magnetization (μB/f.u.) = 3.0

Record 6
# GaCuAu6 PBE relaxed
data_GaCuAu6
_cell_length_a 6.619
_cell_length_b 6.540
_cell_length_c 5.432
_cell_angle_alpha 53.07
_cell_angle_beta 52.24
_cell_angle_gamma 59.66
_space_group_name_H-M_alt 'P 1'
_space_group_IT_number 1
loop_
_space_group_symop_operation_xyz
'x,y,z'
loop_
_atom_site_label
_atom_site_type_symbol
_atom_site_fract_x
_atom_site_fract_y
_atom_site_fract_z
Ga1 Ga 0.000 0.000 0.000
Cu1 Cu 0.500 0.500 0.500
Au1 Au 0.013 0.486 0.751
Au2 Au 0.750 0.012 0.754
Au3 Au 0.509 0.251 0.249
Au4 Au 0.250 0.988 0.246
Au5 Au 0.987 0.514 0.249
Au6 Au 0.491 0.749 0.751
# - space-group type = No. 2
# - formation energy (eV per atom) = 0.004
# - relative energy among the computed polymorphs (meV/atom) = 60
# - total energy (Ha/atom) = -0.123
# - spin magnetization (μB/f.u.) = 0.0

What did the first record say?
# Be3TeO PBE relaxed
data_Be3TeO
_cell_length_a 4.649
_cell_length_b 4.649
_cell_length_c 4.649
_cell_angle_alpha 90.00
_cell_angle_beta 90.00
_cell_angle_gamma 90.00
_space_group_name_H-M_alt 'P 1'
_space_group_IT_number 1
loop_
_space_group_symop_operation_xyz
'x,y,z'
loop_
_atom_site_label
_atom_site_type_symbol
_atom_site_fract_x
_atom_site_fract_y
_atom_site_fract_z
Be1 Be 0.000 0.500 0.000
Be2 Be 0.000 0.000 0.500
Be3 Be 0.500 0.000 0.000
Te1 Te 0.000 0.000 0.000
O1 O 0.500 0.500 0.500
# - space-group type = No. 221
# - relative energy among the computed polymorphs (meV/atom) = 1514
# - total energy (Ha/atom) = -0.084
# - spin magnetization (μB/f.u.) = 0.0

The lowest total energy belongs to which entry?
Ce3SmHo2Se6

Which of these has the lowest total energy?
Ce3SmHo2Se6